DFT (PBE) results for a relaxed Rb2Cd6Rh crystal.

Output
Magnetization (μB/atom): 0.00
SG: C2/m

Cell: 5.915 7.567 7.567 Å, 56.24 96.14 96.14°
Fractional coordinates of all 9 atoms:
Rb 0.807 0.711 0.711
Rb 0.193 0.289 0.289
Cd 0.265 0.357 0.760
Cd 0.354 0.888 0.888
Cd 0.265 0.760 0.357
Cd 0.735 0.643 0.240
Cd 0.646 0.112 0.112
Cd 0.735 0.240 0.643
Rh 0.000 0.000 0.000

=====

DFT (PBE) results for a relaxed CsBa2LiGa crystal.

Output
Magnetization (μB/atom): 0.02
SG: P4/mmm

Cell: 6.712 6.712 5.644 Å, 90.00 90.00 90.00°
Fractional coordinates of all 5 atoms:
Cs 0.500 0.500 0.500
Ba 0.000 0.500 0.000
Ba 0.500 0.000 0.000
Ga 0.000 0.000 0.000
Li 0.000 0.000 0.500

=====

DFT (PBE) results for a relaxed AcLa2Tb2 crystal.

Output
Magnetization (μB/atom): 0.00
SG: I4/mmm
Excess energy over the best structure of this formula in the dataset (meV/atom): 170

Cell: 4.795 4.795 8.869 Å, 105.68 105.68 90.00°
Fractional coordinates of all 5 atoms:
Ac 0.000 0.000 0.000
La 0.405 0.405 0.809
La 0.595 0.595 0.191
Tb 0.750 0.250 0.500
Tb 0.250 0.750 0.500

=====

no.,energy of formation from the pure elements (eV/atom)
1,-0.0084
2,0.0463
3,0.2913